Mn4TlRu (PBE-GGA, relaxed); formation energy = 0.418 eV per atom; SG = F-43m (216)
1.0
0.0000 3.4327 3.4327
3.4327 0.0000 3.4327
3.4327 3.4327 0.0000
Mn Tl Ru
4 1 1
Cartesian
0.8585 0.8585 0.8585
2.5742 2.5742 0.8585
2.5742 0.8585 2.5742
0.8585 2.5742 2.5742
3.4327 3.4327 3.4327
5.1490 5.1490 5.1490

***

Rb3NaCo2Br8 (PBE-GGA, relaxed); SG = P-3m1 (164); uncorrected formation energy = -1.095 eV per atom
1.0
7.7833 0.0000 0.0000
-3.8916 6.7405 0.0000
0.0000 0.0000 9.7415
Rb Na Co Br
3 1 2 8
Cartesian
0.0000 0.0000 0.0000
0.0000 4.4937 6.1335
3.8916 2.2468 3.6080
0.0000 0.0000 4.8708
0.0000 4.4937 2.0964
3.8916 2.2468 7.6451
0.0000 2.2706 3.0236
-1.9252 5.6052 3.0236
0.0000 4.4937 9.4929
1.9664 1.1353 6.7179
1.9252 5.6052 3.0236
3.8916 2.2468 0.2486
5.8169 1.1353 6.7179
3.8916 4.4699 6.7179

***

| no. | final energy (eV/atom) |
| --- | --- |
| 1 | -7.636 |
| 2 | -3.368 |